A) DFT (PBE) results for a relaxed structure of Pm7Sm3Y2.

The structure belongs to space group P2/m (No. 10); the cell edges are 6.484, 3.580 and 17.763 Å and the angles 90.00°, 96.04° and 90.00°. Symmetry generates all atoms from Pm at (0.000, 0.000, 0.000), Pm at (0.224, 0.500, 0.169), Pm at (0.257, 0.500, 0.497), Pm at (0.273, 0.000, 0.833), Sm at (0.451, 0.000, 0.339), Sm at (0.500, 0.500, 0.000) and Y at (0.057, 0.500, 0.671).

Its magnetization is 0.00 μB/cell. As for the density of states at the Fermi level: 1.536 states/eV per atom.

B) DFT (PBE) results for a relaxed structure of Pm7Sm3Y2.

The structure belongs to space group P2/m (No. 10); the cell edges are 5.841, 3.630 and 19.592 Å and the angles 90.00°, 98.51° and 90.00°. Symmetry generates all atoms from Pm at (0.000, 0.000, 0.000), Pm at (0.093, 0.500, 0.186), Pm at (0.268, 0.500, 0.537), Pm at (0.427, 0.000, 0.855), Sm at (0.185, 0.000, 0.370), Sm at (0.500, 0.500, 0.000) and Y at (0.352, 0.500, 0.704).

Its magnetization is 0.00 μB/cell. As for the density of states at the Fermi level: 1.499 states/eV per atom.

Stability ranking, top and bottom: A) is the most stable and B) is the least stable.

A) DFT (PBE) results for a relaxed structure of Pm3Sm5Y2.

The structure belongs to space group C2/c (No. 15); the cell edges are 17.692, 9.478 and 11.088 Å and the angles 90.00°, 128.77° and 90.00°. Symmetry generates all atoms from Pm at (0.000, 0.001, 0.250), Pm at (0.125, 0.249, 0.125), Sm at (0.000, 0.500, 0.250), Sm at (0.122, 0.405, 0.622), Sm at (0.249, 0.499, 0.999) and Y at (0.127, 0.092, 0.627).

Its magnetization is 0.00 μB/cell. As for the density of states at the Fermi level: 1.548 states/eV per atom.

B) DFT (PBE) results for a relaxed structure of Pm3Sm5Y2.

The structure belongs to space group C2/c (No. 15); the cell edges are 10.842, 15.025 and 9.995 Å and the angles 90.00°, 122.59° and 90.00°. Symmetry generates all atoms from Pm at (0.000, 0.227, 0.250), Pm at (0.149, 0.126, 0.055), Sm at (0.000, 0.017, 0.250), Sm at (0.000, 0.269, 0.750), Sm at (0.000, 0.474, 0.750), Sm at (0.238, 0.376, 0.232) and Y at (0.156, 0.376, 0.552).

Its magnetization is 0.00 μB/cell. As for the density of states at the Fermi level: 1.835 states/eV per atom.

Stability ranking, top and bottom: B) is the most stable and A) is the least stable.

A) DFT (PBE) results for a relaxed structure of Pm2Sm3Y2.

The structure belongs to space group C2/m (No. 12); the cell edges are 17.734, 3.547 and 8.644 Å and the angles 90.00°, 119.03° and 90.00°. Symmetry generates all atoms from Pm at (0.066, 0.000, 0.411), Sm at (0.000, 0.500, 0.000), Sm at (0.212, 0.500, 0.299) and Y at (0.148, 0.500, 0.832).

Its magnetization is 0.00 μB/cell. As for the density of states at the Fermi level: 1.590 states/eV per atom.

B) DFT (PBE) results for a relaxed structure of Pm2Sm3Y2.

The structure belongs to space group P-1 (No. 2); the cell edges are 3.620, 6.256 and 10.875 Å and the angles 95.60°, 90.01° and 106.80°. Symmetry generates all atoms from Pm at (0.215, 0.429, 0.357), Sm at (0.356, 0.713, 0.929), Sm at (0.500, 0.000, 0.500) and Y at (0.071, 0.142, 0.787).

Its magnetization is 0.00 μB/cell. As for the density of states at the Fermi level: 1.307 states/eV per atom.

Stability ranking, top and bottom: B) is the most stable and A) is the least stable.

A) DFT (PBE) results for a relaxed structure of Pm3SmY.

The structure belongs to space group C2/c (No. 15); the cell edges are 6.279, 18.170 and 6.287 Å and the angles 90.00°, 109.21° and 90.00°. Symmetry generates all atoms from Pm at (0.000, 0.050, 0.250), Pm at (0.000, 0.250, 0.250), Pm at (0.000, 0.449, 0.250), Sm at (0.000, 0.150, 0.750) and Y at (0.000, 0.350, 0.750).

Its magnetization is 0.00 μB/cell. As for the density of states at the Fermi level: 1.413 states/eV per atom.

B) DFT (PBE) results for a relaxed structure of Pm3SmY.

The structure belongs to space group P-1 (No. 2); the cell edges are 6.367, 6.913 and 9.396 Å and the angles 71.33°, 90.00° and 62.58°. Symmetry generates all atoms from Pm at (0.063, 0.200, 0.049), Pm at (0.132, 0.399, 0.350), Pm at (0.335, 0.998, 0.748), Sm at (0.464, 0.399, 0.850) and Y at (0.266, 0.799, 0.450).

Its magnetization is 0.00 μB/cell. As for the density of states at the Fermi level: 1.744 states/eV per atom.

Stability ranking, top and bottom: A) is the most stable and B) is the least stable.

A) DFT (PBE) results for a relaxed structure of PmSm2Y8.

The structure belongs to space group C2/m (No. 12); the cell edges are 16.665, 6.686 and 6.699 Å and the angles 90.00°, 99.32° and 90.00°. Symmetry generates all atoms from Pm at (0.000, 0.000, 0.000), Sm at (0.245, 0.000, 0.311), Y at (0.088, 0.500, 0.903), Y at (0.089, 0.262, 0.404) and Y at (0.204, 0.000, 0.803).

Its magnetization is 0.00 μB/cell. As for the density of states at the Fermi level: 1.717 states/eV per atom.

B) DFT (PBE) results for a relaxed structure of PmSm2Y8.

The structure belongs to space group C2/m (No. 12); the cell edges are 19.111, 7.041 and 5.611 Å and the angles 90.00°, 92.97° and 90.00°. Symmetry generates all atoms from Pm at (0.000, 0.000, 0.000), Sm at (0.216, 0.500, 0.250), Y at (0.047, 0.500, 0.236), Y at (0.131, 0.266, 0.731) and Y at (0.187, 0.000, 0.233).

Its magnetization is 0.00 μB/cell. As for the density of states at the Fermi level: 1.740 states/eV per atom.

Stability ranking, top and bottom: B) is the most stable and A) is the least stable.

A) DFT (PBE) results for a relaxed structure of Pm7Sm3Y.

The structure belongs to space group P2/m (No. 10); the cell edges are 7.104, 5.675 and 10.128 Å and the angles 90.00°, 110.38° and 90.00°. Symmetry generates all atoms from Pm at (0.000, 0.000, 0.000), Pm at (0.144, 0.500, 0.290), Pm at (0.322, 0.500, 0.638), Pm at (0.415, 0.000, 0.829), Sm at (0.000, 0.000, 0.500), Sm at (0.281, 0.500, 0.000) and Y at (0.500, 0.000, 0.500).

Its magnetization is 0.00 μB/cell. As for the density of states at the Fermi level: 1.351 states/eV per atom.

B) DFT (PBE) results for a relaxed structure of Pm7Sm3Y.

The structure belongs to space group Immm (No. 71); the cell edges are 5.947, 11.346 and 11.427 Å and the angles 90.00°, 90.00° and 90.00°. Symmetry generates all atoms from Pm at (0.000, 0.000, 0.000), Pm at (0.000, 0.204, 0.302), Pm at (0.000, 0.500, 0.208), Sm at (0.000, 0.000, 0.500), Sm at (0.000, 0.292, 0.000) and Y at (0.000, 0.500, 0.500).

Its magnetization is 0.29 μB/cell. As for the density of states at the Fermi level: 1.511 states/eV per atom.

Stability ranking, top and bottom: A) is the most stable and B) is the least stable.

A) DFT (PBE) results for a relaxed structure of Pm4Sm5Y2.

The structure belongs to space group C2/m (No. 12); the cell edges are 11.228, 7.467 and 9.292 Å and the angles 90.00°, 105.89° and 90.00°. Symmetry generates all atoms from Pm at (0.168, 0.000, 0.118), Pm at (0.192, 0.000, 0.496), Sm at (0.000, 0.500, 0.500), Sm at (0.071, 0.219, 0.771) and Y at (0.142, 0.500, 0.124).

Its magnetization is 0.00 μB/cell. As for the density of states at the Fermi level: 1.496 states/eV per atom.

B) DFT (PBE) results for a relaxed structure of Pm4Sm5Y2.

The structure belongs to space group C2/m (No. 12); the cell edges are 24.251, 3.505 and 8.893 Å and the angles 90.00°, 97.34° and 90.00°. Symmetry generates all atoms from Pm at (0.046, 0.000, 0.360), Pm at (0.177, 0.500, 0.470), Sm at (0.000, 0.500, 0.000), Sm at (0.140, 0.000, 0.115), Sm at (0.231, 0.000, 0.824) and Y at (0.091, 0.000, 0.735).

Its magnetization is 0.00 μB/cell. As for the density of states at the Fermi level: 1.652 states/eV per atom.

Stability ranking, top and bottom: A) is the most stable and B) is the least stable.

A) DFT (PBE) results for a relaxed structure of Pm12SmY6.

The structure belongs to space group R-3 (No. 148, hexagonal axes); the cell edges are 12.1876, 12.1876 and 15.2603 Å and the angles 90.00°, 90.00° and 120.00°. Symmetry generates all atoms from Pm at (0.0064, 0.8317, 0.1922), Pm at (0.0462, 0.8505, 0.4168), Sm at (0.0000, 0.0000, 0.0000) and Y at (0.0132, 0.4255, 0.6859).

Its magnetization is 0.00 μB/cell. As for the density of states at the Fermi level: 1.737 states/eV per atom.

B) DFT (PBE) results for a relaxed structure of Pm12SmY6.

The structure belongs to space group R-3m (No. 166, hexagonal axes); the cell edges are 13.4750, 13.4750 and 12.6957 Å and the angles 90.00°, 90.00° and 120.00°. Symmetry generates all atoms from Pm at (0.0000, 0.2569, 0.0000), Pm at (0.0912, 0.1823, 0.7624), Sm at (0.0000, 0.0000, 0.5000) and Y at (0.0421, 0.5210, 0.1207).

Its magnetization is 0.00 μB/cell. As for the density of states at the Fermi level: 1.980 states/eV per atom.

Stability ranking, top and bottom: A) is the most stable and B) is the least stable.

A) DFT (PBE) results for a relaxed structure of Pm4Sm6Y.

The structure belongs to space group I-42m (No. 121); the cell edges are 7.663, 7.663 and 13.465 Å and the angles 90.00°, 90.00° and 90.00°. Symmetry generates all atoms from Pm at (0.172, 0.172, 0.422), Sm at (0.000, 0.500, 0.000), Sm at (0.232, 0.232, 0.188) and Y at (0.000, 0.000, 0.000).

Its magnetization is 0.00 μB/cell. As for the density of states at the Fermi level: 1.190 states/eV per atom.

B) DFT (PBE) results for a relaxed structure of Pm4Sm6Y.

The structure belongs to space group I-42m (No. 121); the cell edges are 6.688, 6.688 and 17.305 Å and the angles 90.00°, 90.00° and 90.00°. Symmetry generates all atoms from Pm at (0.189, 0.189, 0.177), Sm at (0.000, 0.500, 0.000), Sm at (0.177, 0.177, 0.373) and Y at (0.000, 0.000, 0.000).

Its magnetization is 0.00 μB/cell. As for the density of states at the Fermi level: 1.556 states/eV per atom.

Stability ranking, top and bottom: B) is the most stable and A) is the least stable.

A) DFT (PBE) results for a relaxed structure of PmSm3Y7.

The structure belongs to space group P3m1 (No. 156); the cell edges are 7.1261, 7.1261 and 8.6982 Å and the angles 90.00°, 90.00° and 120.00°. Symmetry generates all atoms from Pm at (0.0000, 0.0000, 0.0000), Sm at (0.1667, 0.3334, 0.3359), Y at (0.0017, 0.5009, 0.9999), Y at (0.3317, 0.1658, 0.6705) and Y at (0.3333, 0.6667, 0.6713).

Its magnetization is 0.00 μB/cell. As for the density of states at the Fermi level: 1.625 states/eV per atom.

B) DFT (PBE) results for a relaxed structure of PmSm3Y7.

The structure belongs to space group P2/m (No. 10); the cell edges are 6.963, 5.578 and 10.122 Å and the angles 90.00°, 109.96° and 90.00°. Symmetry generates all atoms from Pm at (0.000, 0.000, 0.000), Sm at (0.282, 0.500, 0.500), Sm at (0.500, 0.000, 0.000), Y at (0.000, 0.000, 0.500), Y at (0.144, 0.500, 0.787), Y at (0.319, 0.500, 0.137) and Y at (0.416, 0.000, 0.330).

Its magnetization is 0.00 μB/cell. As for the density of states at the Fermi level: 1.686 states/eV per atom.

Stability ranking, top and bottom: B) is the most stable and A) is the least stable.